No. 1
A plane-wave DFT calculation with PBE was carried out for a relaxed LiTm5Cd4 crystal.

Lattice parameters (Å, degrees): 3.6953 3.6953 18.4132 90.00 90.00 90.00
Positions (direct):
Li (0.0000, 0.0000, 0.0000)
Tm (0.5000, 0.5000, 0.0989)
Tm (0.5000, 0.5000, 0.2988)
Tm (0.5000, 0.5000, 0.5000)
Tm (0.5000, 0.5000, 0.7012)
Tm (0.5000, 0.5000, 0.9011)
Cd (0.0000, 0.0000, 0.1974)
Cd (0.0000, 0.0000, 0.3993)
Cd (0.0000, 0.0000, 0.6007)
Cd (0.0000, 0.0000, 0.8026)

Results
Crystal system: tetragonal
Space group: No. 123
Spin magnetization: 0.00 μB per formula unit
Electronic total energy: -0.22139 Ry/atom
V: 251.44 Å³/f.u.

---

No. 2
A plane-wave DFT calculation with PBE was carried out for a relaxed LiTm2Cd4 crystal.

Lattice parameters (Å, degrees): 5.1360 5.1360 7.7244 70.58 70.58 60.00
Positions (direct):
Li (0.0000, 0.0000, 0.0000)
Tm (0.7199, 0.7199, 0.8402)
Tm (0.2801, 0.2801, 0.1598)
Cd (0.8717, 0.8717, 0.3850)
Cd (0.1283, 0.1283, 0.6150)
Cd (0.5740, 0.5740, 0.2779)
Cd (0.4260, 0.4260, 0.7221)

Results
Crystal system: trigonal
Space group: No. 166
Spin magnetization: 0.00 μB per formula unit
Electronic total energy: -0.16257 Ry/atom
V: 162.94 Å³/f.u.

---

No. 3
A plane-wave DFT calculation with PBE was carried out for a relaxed Li4TmCd5 crystal.

Lattice parameters (Å, degrees): 3.4295 3.4295 16.8194 90.00 90.00 90.00
Positions (direct):
Li (0.0000, 0.0000, 0.2173)
Li (0.0000, 0.0000, 0.4069)
Li (0.0000, 0.0000, 0.5931)
Li (0.0000, 0.0000, 0.7827)
Tm (0.0000, 0.0000, 0.0000)
Cd (0.5000, 0.5000, 0.1243)
Cd (0.5000, 0.5000, 0.3132)
Cd (0.5000, 0.5000, 0.5000)
Cd (0.5000, 0.5000, 0.6868)
Cd (0.5000, 0.5000, 0.8757)

Results
Crystal system: tetragonal
Space group: No. 123
Spin magnetization: 0.15 μB per formula unit
Electronic total energy: -0.14178 Ry/atom
V: 197.82 Å³/f.u.